1.
DFT (PBE-GGA) results for crystalline CsBi3Br at its relaxed geometry.

Results
ΔE to the lowest computed polymorph (meV/atom): 940
Crystal system: cubic
Raw formation energy (eV/atom): 1.279
Electronic total energy (eV/cell): -7.78

abc: 6.428 6.428 6.428
angles: 90.00 90.00 90.00
Element x y z (fractional)
Cs (0.000, 0.000, 0.000)
Bi (0.000, 0.000, 0.500)
Bi (0.000, 0.500, 0.000)
Bi (0.500, 0.000, 0.000)
Br (0.500, 0.500, 0.500)

---

2.
DFT (PBE-GGA) results for crystalline SmLu2Tc at its relaxed geometry.

Results
Crystal system: tetragonal
DFT formation energy (kJ per mole of atoms): -5
Electronic total energy (eV/cell): -24.34

abc: 3.398 3.398 8.919
angles: 90.00 90.00 90.00
Element x y z (fractional)
Sm (0.000, 0.000, 0.000)
Lu (0.500, 0.500, 0.319)
Lu (0.500, 0.500, 0.681)
Tc (0.000, 0.000, 0.500)

---

3.
DFT (PBE-GGA) results for crystalline NbBSb3 at its relaxed geometry.

Results
ΔE to the lowest computed polymorph (meV/atom): 0
Crystal system: cubic
Raw formation energy (eV/atom): 0.981
Electronic total energy (eV/cell): -24.21

abc: 4.749 4.749 4.749
angles: 90.00 90.00 90.00
Element x y z (fractional)
Nb (0.000, 0.000, 0.000)
B (0.500, 0.500, 0.500)
Sb (0.000, 0.500, 0.500)
Sb (0.500, 0.000, 0.500)
Sb (0.500, 0.500, 0.000)

---

4.
DFT (PBE-GGA) results for crystalline P3AuI at its relaxed geometry.

Results
ΔE to the lowest computed polymorph (meV/atom): 0
Crystal system: cubic
Raw formation energy (eV/atom): 1.132
Electronic total energy (eV/cell): -15.40

abc: 4.896 4.896 4.896
angles: 90.00 90.00 90.00
Element x y z (fractional)
P (0.000, 0.000, 0.500)
P (0.000, 0.500, 0.000)
P (0.500, 0.000, 0.000)
Au (0.000, 0.000, 0.000)
I (0.500, 0.500, 0.500)

---

5.
DFT (PBE-GGA) results for crystalline SrBi2As2 at its relaxed geometry.

Results
ΔE to the lowest computed polymorph (meV/atom): 0
Crystal system: trigonal
DFT formation energy (kJ per mole of atoms): -35
Electronic total energy (eV/cell): -20.56

abc: 8.849 8.849 8.849
angles: 30.35 30.35 30.35
Element x y z (fractional)
Sr (0.000, 0.000, 0.000)
Bi (0.214, 0.214, 0.214)
Bi (0.786, 0.786, 0.786)
As (0.408, 0.408, 0.408)
As (0.592, 0.592, 0.592)

---

6.
DFT (PBE-GGA) results for crystalline CaGdAgGe at its relaxed geometry.

Results
Crystal system: cubic
DFT formation energy (kJ per mole of atoms): -52
Electronic total energy (eV/cell): -25.70

abc: 5.150 5.150 5.150
angles: 60.00 60.00 60.00
Element x y z (fractional)
Ca (0.000, 0.000, 0.000)
Gd (0.500, 0.500, 0.500)
Ag (0.750, 0.750, 0.750)
Ge (0.250, 0.250, 0.250)